[1]
Density functional theory data (PBE-GGA) for TbPm2Nd after structural relaxation.

The structure in extended XYZ format:
```
4
Lattice="1.824 1.053 11.818 -1.824 1.053 11.818 0.000 -2.106 11.818" Properties=species:S:1:pos:R:3 pbc="T T T"
Tb 0.000 0.000 0.000
Pm 0.000 0.000 14.735
Pm 0.000 0.000 20.736
Nd 0.000 0.000 5.918
```

For the total energy, the calculation gives -4.71 eV/atom. As for the space-group type: R3m. The value obtained for the formation energy from the elements is 0.0155 eV per atom. The theoretical density is 7.23 g/cm³.

---

[2]
Density functional theory data (PBE-GGA) for Tb9Pm2Nd after structural relaxation.

The structure in extended XYZ format:
```
12
Lattice="5.068 0.000 0.000 0.000 5.068 0.000 0.000 0.000 15.207" Properties=species:S:1:pos:R:3 pbc="T T T"
Tb 0.000 0.000 0.000
Tb 0.000 0.000 5.072
Tb 0.000 0.000 10.135
Tb 0.000 2.534 2.541
Tb 0.000 2.534 7.604
Tb 0.000 2.534 12.666
Tb 2.534 0.000 2.541
Tb 2.534 0.000 7.604
Tb 2.534 0.000 12.666
Pm 2.534 2.534 5.071
Pm 2.534 2.534 10.136
Nd 2.534 2.534 0.000
```

For the total energy, the calculation gives -4.64 eV/atom. As for the space-group type: P4/mmm. The value obtained for the formation energy from the elements is 0.0180 eV per atom. The theoretical density is 7.93 g/cm³.

---

[3]
Density functional theory data (PBE-GGA) for Tb3Pm3Nd8 after structural relaxation.

The structure in extended XYZ format:
```
14
Lattice="6.429 -6.688 0.000 6.429 6.688 0.000 -1.762 0.000 5.676" Properties=species:S:1:pos:R:3 pbc="T T T"
Tb 0.000 0.000 0.000
Tb 5.548 4.703 2.838
Tb 5.548 -4.703 2.838
Pm 1.417 0.000 4.660
Pm 6.429 0.000 0.000
Pm 9.680 0.000 1.016
Nd 3.078 3.296 5.178
Nd 3.796 1.617 2.337
Nd 8.019 3.296 0.498
Nd 3.796 -1.617 2.337
Nd 7.300 1.617 3.339
Nd 3.078 -3.296 5.178
Nd 7.300 -1.617 3.339
Nd 8.019 -3.296 0.498
```

For the total energy, the calculation gives -4.59 eV/atom. As for the space-group type: C2/m. The value obtained for the formation energy from the elements is 0.1462 eV per atom. The theoretical density is 7.03 g/cm³.

---

[4]
Density functional theory data (PBE-GGA) for Tb5PmNd5 after structural relaxation.

The structure in extended XYZ format:
```
11
Lattice="9.528 -3.026 0.000 9.528 3.026 0.000 -2.588 0.000 6.566" Properties=species:S:1:pos:R:3 pbc="T T T"
Tb 0.000 0.000 0.000
Tb 5.437 0.000 2.159
Tb 4.905 0.000 5.743
Tb 11.562 0.000 0.822
Tb 11.030 0.000 4.407
Pm -1.294 0.000 3.283
Nd 2.232 0.000 2.836
Nd 0.970 0.000 6.042
Nd 8.234 0.000 3.283
Nd 15.498 0.000 0.524
Nd 14.235 0.000 3.730
```

For the total energy, the calculation gives -4.46 eV/atom. As for the space-group type: C2/m. The value obtained for the formation energy from the elements is 0.2471 eV per atom. The theoretical density is 7.28 g/cm³.

---

| no. | total magnetization (μB/cell) |
| --- | --- |
| 1 | 0.000 |
| 2 | 0.000 |
| 3 | 0.000 |
| 4 | 0.442 |